VASP calculation (PBE+U) on Mn2BrO after structural relaxation.

```
Mn2BrO
1.0
3.6957 0.0000 0.0000
-1.8455 5.9450 0.0000
-0.0059 -1.4123 7.2424
Mn Br O
4 2 2
Direct
0.0000 0.0000 0.0000
0.2211 0.4389 0.5419
0.4850 0.9688 0.3264
0.7472 0.4920 0.2229
0.2060 0.4115 0.9216
0.4426 0.8850 0.7015
0.6642 0.3254 0.4480
0.9228 0.8447 0.2213
```

Output
**Relative energy among the computed polymorphs**: 0 meV per atom
**M_tot**: 2.29 μB/atom